CoSiW3 after structural relaxation, computed with PBE.

abc: 4.439 4.439 4.439
angles: 90.00 90.00 90.00
Atoms (fractional coordinates):
Co 0.000 0.000 0.000
Si 0.500 0.500 0.500
W 0.000 0.500 0.500
W 0.500 0.000 0.500
W 0.500 0.500 0.000

## Properties
Energy (eV per cell): -43.4
Formation energy (no corrections) (kJ per mole of atoms): 154.8
E above lowest polymorph (meV per atom): 135
Calculated density (g/cm³): 12.1